[1]
# PmDy3Hg (PBE-GGA, optimized geometry)
# Energy of formation from the pure elements (kJ per mole of atoms): -10
# DOS(E_F) (states/eV/cell): 10.51
data_PmDy3Hg
_cell_length_a 6.740
_cell_length_b 6.740
_cell_length_c 8.759
_cell_angle_alpha 87.92
_cell_angle_beta 119.91
_cell_angle_gamma 113.53
_symmetry_space_group_name_H-M 'P 1'
_symmetry_Int_Tables_number 1
_symmetry_space_group_name_Hall 'P 1'
loop_
_atom_site_label
_atom_site_fract_x
_atom_site_fract_y
_atom_site_fract_z
Pm1 0.679 0.058 0.737
Pm2 0.321 0.942 0.263
Dy1 0.730 0.910 0.142
Dy2 0.232 0.411 0.142
Dy3 0.768 0.589 0.858
Dy4 0.818 0.439 0.257
Dy5 0.270 0.090 0.858
Dy6 0.182 0.561 0.743
Hg1 0.759 0.741 0.500
Hg2 0.241 0.259 0.500

=====

[2]
# CeCoAsS (PBE-GGA, optimized geometry)
# Formation energy without anion corrections (eV/f.u.): -4.22
# DOS(E_F) (states/eV/cell): 6.87
data_CeCoAsS
_cell_length_a 4.237
_cell_length_b 4.237
_cell_length_c 8.368
_cell_angle_alpha 90.00
_cell_angle_beta 90.00
_cell_angle_gamma 90.00
_symmetry_space_group_name_H-M 'P 1'
_symmetry_Int_Tables_number 1
_symmetry_space_group_name_Hall 'P 1'
loop_
_atom_site_label
_atom_site_fract_x
_atom_site_fract_y
_atom_site_fract_z
Ce1 0.500 0.000 0.709
Ce2 0.000 0.500 0.291
Co1 0.500 0.500 0.000
Co2 0.000 0.000 0.000
As1 0.000 0.500 0.865
As2 0.500 0.000 0.135
S1 0.000 0.000 0.500
S2 0.500 0.500 0.500

=====

[3]
# ErTiGa (PBE-GGA, optimized geometry)
# Energy of formation from the pure elements (kJ per mole of atoms): -39
# DOS(E_F) (states/eV/cell): 6.85
data_ErTiGa
_cell_length_a 4.078
_cell_length_b 4.078
_cell_length_c 7.675
_cell_angle_alpha 90.00
_cell_angle_beta 90.00
_cell_angle_gamma 90.00
_symmetry_space_group_name_H-M 'P 1'
_symmetry_Int_Tables_number 1
_symmetry_space_group_name_Hall 'P 1'
loop_
_atom_site_label
_atom_site_fract_x
_atom_site_fract_y
_atom_site_fract_z
Er1 0.000 0.500 0.842
Er2 0.500 0.000 0.158
Ti1 0.500 0.500 0.500
Ti2 0.000 0.000 0.500
Ga1 0.000 0.500 0.255
Ga2 0.500 0.000 0.745

=====

[4]
# LiBeFe2 (PBE-GGA, optimized geometry)
# Energy of formation from the pure elements (kJ per mole of atoms): 12
# DOS(E_F) (states/eV/cell): 3.83
data_LiBeFe2
_cell_length_a 8.391
_cell_length_b 8.391
_cell_length_c 8.391
_cell_angle_alpha 16.86
_cell_angle_beta 16.86
_cell_angle_gamma 16.86
_symmetry_space_group_name_H-M 'P 1'
_symmetry_Int_Tables_number 1
_symmetry_space_group_name_Hall 'P 1'
loop_
_atom_site_label
_atom_site_fract_x
_atom_site_fract_y
_atom_site_fract_z
Be1 0.750 0.750 0.750
Fe1 0.008 0.008 0.008
Fe2 0.492 0.492 0.492
Li1 0.250 0.250 0.250

=====

[5]
# CaCdSe2O8 (PBE-GGA, optimized geometry)
# Formation energy without anion corrections (eV/f.u.): -13.82
# DOS(E_F) (states/eV/cell): 0.00
data_CaCdSe2O8
_cell_length_a 5.127
_cell_length_b 5.127
_cell_length_c 7.813
_cell_angle_alpha 70.85
_cell_angle_beta 70.85
_cell_angle_gamma 60.00
_symmetry_space_group_name_H-M 'P 1'
_symmetry_Int_Tables_number 1
_symmetry_space_group_name_Hall 'P 1'
loop_
_atom_site_label
_atom_site_fract_x
_atom_site_fract_y
_atom_site_fract_z
Ca1 0.500 0.500 0.500
Cd1 0.000 0.000 0.000
Se1 0.246 0.246 0.262
Se2 0.754 0.754 0.738
O1 0.169 0.169 0.493
O2 0.563 0.304 0.193
O3 0.831 0.831 0.507
O4 0.939 0.563 0.193
O5 0.061 0.437 0.807
O6 0.304 0.939 0.193
O7 0.696 0.061 0.807
O8 0.437 0.696 0.807

=====

[6]
# Cs3Pm4Te8 (PBE-GGA, optimized geometry)
# Formation energy without anion corrections (eV/f.u.): -16.14
# DOS(E_F) (states/eV/cell): 8.14
data_Cs3Pm4Te8
_cell_length_a 9.375
_cell_length_b 9.614
_cell_length_c 9.614
_cell_angle_alpha 89.55
_cell_angle_beta 118.71
_cell_angle_gamma 118.71
_symmetry_space_group_name_H-M 'P 1'
_symmetry_Int_Tables_number 1
_symmetry_space_group_name_Hall 'P 1'
loop_
_atom_site_label
_atom_site_fract_x
_atom_site_fract_y
_atom_site_fract_z
Cs1 0.500 0.500 0.000
Cs2 0.500 0.000 0.500
Cs3 0.500 0.500 0.500
Pm1 0.500 0.000 0.000
Pm2 0.000 0.500 0.000
Pm3 0.000 0.000 0.000
Pm4 0.000 0.000 0.500
Te1 0.450 0.202 0.202
Te2 0.000 0.765 0.235
Te3 0.970 0.226 0.226
Te4 0.500 0.769 0.231
Te5 0.500 0.231 0.769
Te6 0.030 0.774 0.774
Te7 0.000 0.235 0.765
Te8 0.550 0.798 0.798

=====

Which value of DOS(E_F) does entry 6 give? 8.14 states/eV/cell